No. 1
A plane-wave DFT calculation with PBE was carried out for an optimized crystal structure of CaRhI2N.

```
CaRhI2N
1.0
6.064 0.000 0.000
0.000 6.064 0.000
0.000 0.000 4.589
Ca Rh I N
1 1 2 1
Cartesian
0.000 0.000 0.000
3.032 3.032 2.295
0.000 3.032 0.000
3.032 0.000 0.000
0.000 0.000 2.295
```

## Properties
Polymorph energy (0 for the lowest one), meV per atom: 977.6
Space-group type: P4/mmm (123)
Formation energy without anion corrections, eV per atom: 0.775



No. 2
A plane-wave DFT calculation with PBE was carried out for an optimized crystal structure of CaRuI2N.

```
CaRuI2N
1.0
6.071 0.000 0.000
0.000 6.071 0.000
0.000 0.000 4.563
Ca Ru I N
1 1 2 1
Cartesian
0.000 0.000 0.000
3.036 3.036 2.281
0.000 3.036 0.000
3.036 0.000 0.000
0.000 0.000 2.281
```

## Properties
Polymorph energy (0 for the lowest one), meV per atom: 1173.3
Space-group type: P4/mmm (123)
Formation energy without anion corrections, eV per atom: 0.961